Mg2SiOs (PBE, optimized geometry); uncorrected formation energy = 0.34 eV per atom
1.0
-5.020 5.020 2.271
5.020 -5.020 2.271
5.020 5.020 -2.271
Mg Si Os
4 2 2
Direct
0.375 0.128 0.253 Mg
0.872 0.125 0.247 Mg
0.875 0.122 0.747 Mg
0.878 0.625 0.753 Mg
0.250 0.750 0.500 Si
0.500 0.500 0.000 Si
0.000 0.000 0.000 Os
0.750 0.250 0.500 Os

MgSiOs3 (PBE, optimized geometry); uncorrected formation energy = 2.42 eV per atom
1.0
4.434 0.000 0.000
0.000 4.434 0.000
0.000 0.000 4.434
Mg Si Os
1 1 3
Direct
0.000 0.000 0.000 Mg
0.500 0.500 0.500 Si
0.000 0.000 0.500 Os
0.000 0.500 0.000 Os
0.500 0.000 0.000 Os

MgSi7Os3 (PBE, optimized geometry); uncorrected formation energy = -0.24 eV per atom
1.0
3.842 2.218 6.485
-3.842 2.218 6.485
0.000 -4.437 6.485
Mg Si Os
2 14 6
Direct
0.000 0.000 0.000 Mg
0.500 0.500 0.500 Mg
0.059 0.859 0.672 Si
0.141 0.328 0.941 Si
0.172 0.359 0.559 Si
0.250 0.250 0.250 Si
0.328 0.941 0.141 Si
0.359 0.559 0.172 Si
0.441 0.828 0.641 Si
0.559 0.172 0.359 Si
0.641 0.441 0.828 Si
0.672 0.059 0.859 Si
0.750 0.750 0.750 Si
0.828 0.641 0.441 Si
0.859 0.672 0.059 Si
0.941 0.141 0.328 Si
0.082 0.750 0.418 Os
0.250 0.582 0.918 Os
0.418 0.082 0.750 Os
0.582 0.918 0.250 Os
0.750 0.418 0.082 Os
0.918 0.250 0.582 Os

Mg2SiOs (PBE, optimized geometry); uncorrected formation energy = -0.17 eV per atom
1.0
3.113 0.000 0.000
0.000 3.113 0.000
0.000 0.000 7.008
Mg Si Os
2 1 1
Direct
0.000 0.000 0.000 Mg
0.500 0.500 0.332 Mg
0.500 0.500 0.744 Si
0.000 0.000 0.591 Os

Mg2Si2Os (PBE, optimized geometry); uncorrected formation energy = -0.20 eV per atom
1.0
6.323 0.000 0.000
0.000 6.323 0.000
0.000 0.000 4.049
Mg Si Os
4 4 2
Direct
0.177 0.323 0.000 Mg
0.323 0.823 0.000 Mg
0.677 0.177 0.000 Mg
0.823 0.677 0.000 Mg
0.133 0.633 0.500 Si
0.367 0.133 0.500 Si
0.633 0.867 0.500 Si
0.867 0.367 0.500 Si
0.000 0.000 0.500 Os
0.500 0.500 0.500 Os

Mg2SiOs (PBE, optimized geometry); uncorrected formation energy = 0.25 eV per atom
1.0
2.804 0.000 0.000
0.000 2.804 0.000
0.000 0.000 8.334
Mg Si Os
2 1 1
Direct
0.000 0.000 0.237 Mg
0.000 0.000 0.763 Mg
0.500 0.500 0.500 Si
0.500 0.500 0.000 Os

SmMgSi2Os2 (PBE, optimized geometry); uncorrected formation energy = -0.48 eV per atom
1.0
4.243 0.000 0.000
-2.121 3.674 0.000
0.000 0.000 6.705
Sm Mg Si Os
1 1 2 2
Direct
0.000 0.000 0.000 Sm
0.000 0.000 0.500 Mg
0.333 0.667 0.286 Si
0.667 0.333 0.714 Si
0.333 0.667 0.655 Os
0.667 0.333 0.345 Os

Mg2SiSnOs (PBE, optimized geometry); uncorrected formation energy = 0.26 eV per atom
1.0
5.067 0.000 0.000
0.000 5.067 0.000
0.000 0.000 4.571
Mg Si Sn Os
2 1 1 1
Direct
0.000 0.500 0.000 Mg
0.500 0.000 0.000 Mg
0.000 0.000 0.500 Si
0.500 0.500 0.500 Sn
0.000 0.000 0.000 Os

SrMg2SiOs (PBE, optimized geometry); uncorrected formation energy = -0.13 eV per atom
1.0
5.073 0.000 0.000
0.000 5.073 0.000
0.000 0.000 4.646
Sr Mg Si Os
1 2 1 1
Direct
0.000 0.000 0.000 Sr
0.000 0.500 0.500 Mg
0.500 0.000 0.500 Mg
0.500 0.500 0.000 Si
0.500 0.500 0.500 Os

MgVSiOs2 (PBE, optimized geometry); uncorrected formation energy = 0.74 eV per atom
1.0
4.431 0.000 0.000
0.000 4.431 0.000
0.000 0.000 4.376
Mg V Si Os
1 1 1 2
Direct
0.000 0.000 0.000 Mg
0.500 0.500 0.000 V
0.500 0.500 0.500 Si
0.000 0.500 0.500 Os
0.500 0.000 0.500 Os

Sm6MgOs2 (PBE, optimized geometry); calculated formation energy = -0.132 eV per atom
1.0
-4.841 4.901 5.316
4.841 -4.901 5.316
4.841 4.901 -5.316
Sm Mg Os
12 2 4
Direct
0.035 0.241 0.794 Sm
0.184 0.280 0.465 Sm
0.184 0.720 0.904 Sm
0.326 0.011 0.684 Sm
0.326 0.642 0.316 Sm
0.448 0.241 0.206 Sm
0.552 0.759 0.794 Sm
0.674 0.358 0.684 Sm
0.674 0.989 0.316 Sm
0.816 0.280 0.096 Sm
0.816 0.720 0.535 Sm
0.965 0.759 0.206 Sm
0.000 0.000 0.000 Mg
0.500 0.500 0.000 Mg
0.118 0.618 0.500 Os
0.318 0.000 0.318 Os
0.682 0.000 0.682 Os
0.882 0.382 0.500 Os

Sm2MgOs2 (PBE, optimized geometry); calculated formation energy = -0.067 eV per atom
1.0
4.910 -2.813 0.000
4.910 2.813 0.000
-2.276 0.000 8.115
Sm Mg Os
4 2 4
Direct
0.004 0.699 0.851 Sm
0.301 0.996 0.649 Sm
0.699 0.004 0.351 Sm
0.996 0.301 0.149 Sm
0.363 0.637 0.250 Mg
0.637 0.363 0.750 Mg
0.209 0.508 0.491 Os
0.492 0.791 0.009 Os
0.508 0.209 0.991 Os
0.791 0.492 0.509 Os

Sm2MgOs (PBE, optimized geometry); calculated formation energy = 0.033 eV per atom
1.0
5.012 0.000 0.000
0.000 5.012 0.000
0.000 0.000 3.733
Sm Mg Os
2 1 1
Direct
0.000 0.500 0.000 Sm
0.500 0.000 0.000 Sm
0.000 0.000 0.500 Mg
0.500 0.500 0.500 Os

Sm4MgOs (PBE, optimized geometry); calculated formation energy = -0.143 eV per atom
1.0
0.000 6.999 6.999
6.999 0.000 6.999
6.999 6.999 0.000
Sm Mg Os
16 4 4
Direct
0.032 0.656 0.656 Sm
0.060 0.060 0.440 Sm
0.060 0.440 0.060 Sm
0.060 0.440 0.440 Sm
0.189 0.189 0.811 Sm
0.189 0.811 0.189 Sm
0.189 0.811 0.811 Sm
0.440 0.060 0.060 Sm
0.440 0.060 0.440 Sm
0.440 0.440 0.060 Sm
0.656 0.032 0.656 Sm
0.656 0.656 0.032 Sm
0.656 0.656 0.656 Sm
0.811 0.189 0.189 Sm
0.811 0.189 0.811 Sm
0.811 0.811 0.189 Sm
0.421 0.421 0.421 Mg
0.421 0.421 0.736 Mg
0.421 0.736 0.421 Mg
0.736 0.421 0.421 Mg
0.415 0.862 0.862 Os
0.862 0.415 0.862 Os
0.862 0.862 0.415 Os
0.862 0.862 0.862 Os

Sm2MgOs (PBE, optimized geometry); calculated formation energy = 0.293 eV per atom
1.0
1.997 1.153 10.199
-1.997 1.153 10.199
0.000 -2.306 10.199
Sm Mg Os
2 1 1
Direct
0.116 0.116 0.116 Sm
0.884 0.884 0.884 Sm
0.000 0.000 0.000 Mg
0.500 0.500 0.500 Os

Sm4MgOs (PBE, optimized geometry); calculated formation energy = 0.229 eV per atom
1.0
-4.843 4.843 4.588
4.843 -4.843 4.588
4.843 4.843 -4.588
Sm Mg Os
8 2 2
Direct
0.185 0.000 0.185 Sm
0.185 0.475 0.290 Sm
0.185 0.895 0.710 Sm
0.225 0.435 0.790 Sm
0.645 0.435 0.210 Sm
0.750 0.065 0.315 Sm
0.750 0.435 0.685 Sm
0.815 0.000 0.815 Sm
0.460 0.960 0.500 Mg
0.710 0.710 0.000 Mg
0.222 0.222 0.000 Os
0.972 0.472 0.500 Os

Sm2MgOs (PBE, optimized geometry); calculated formation energy = -0.095 eV per atom
1.0
3.443 0.000 0.000
0.000 3.443 0.000
0.000 0.000 8.772
Sm Mg Os
2 1 1
Direct
0.000 0.000 0.195 Sm
0.000 0.000 0.805 Sm
0.500 0.500 0.500 Mg
0.500 0.500 0.000 Os

SmThMgOs (PBE, optimized geometry); calculated formation energy = -0.023 eV per atom
1.0
0.000 3.640 3.640
3.640 0.000 3.640
3.640 3.640 0.000
Sm Th Mg Os
1 1 1 1
Direct
0.000 0.000 0.000 Sm
0.500 0.500 0.500 Th
0.750 0.750 0.750 Mg
0.250 0.250 0.250 Os

SmYMgOs (PBE, optimized geometry); calculated formation energy = -0.088 eV per atom
1.0
0.000 3.573 3.573
3.573 0.000 3.573
3.573 3.573 0.000
Sm Y Mg Os
1 1 1 1
Direct
0.000 0.000 0.000 Sm
0.500 0.500 0.500 Y
0.750 0.750 0.750 Mg
0.250 0.250 0.250 Os

Sm4MgZn2Os (PBE, optimized geometry); calculated formation energy = -0.225 eV per atom
1.0
2.579 1.489 8.446
-2.579 1.489 8.446
0.000 -2.979 8.446
Sm Mg Zn Os
4 1 2 1
Direct
0.114 0.114 0.114 Sm
0.367 0.367 0.367 Sm
0.633 0.633 0.633 Sm
0.886 0.886 0.886 Sm
0.500 0.500 0.500 Mg
0.238 0.238 0.238 Zn
0.762 0.762 0.762 Zn
0.000 0.000 0.000 Os

Number 1: uncorrected energy -4.6202 eV per atom. Number 2: uncorrected energy -5.7175 eV per atom. Number 3: uncorrected energy -6.8950 eV per atom. Number 4: uncorrected energy -5.1297 eV per atom. Number 5: uncorrected energy -5.2560 eV per atom. Number 6: uncorrected energy -4.7138 eV per atom. Number 7: uncorrected energy -7.0802 eV per atom. Number 8: uncorrected energy -4.5100 eV per atom. Number 9: uncorrected energy -4.4373 eV per atom. Number 10: uncorrected energy -6.9783 eV per atom. Number 11: uncorrected energy -5.9509 eV per atom. Number 12: uncorrected energy -6.7656 eV per atom. Number 13: uncorrected energy -5.5328 eV per atom. Number 14: uncorrected energy -5.4268 eV per atom. Number 15: uncorrected energy -5.2731 eV per atom. Number 16: uncorrected energy -5.0545 eV per atom. Number 17: uncorrected energy -5.6605 eV per atom. Number 18: uncorrected energy -6.2643 eV per atom. Number 19: uncorrected energy -6.0899 eV per atom. Number 20: uncorrected energy -4.5061 eV per atom.